Record 1
DFT (PBE) results for a relaxed Sr6LiPd crystal.

POSCAR file:
```
Sr6LiPd
1.0
7.6563 0.3383 0.0000
2.1928 7.6177 0.0000
1.0964 3.8089 6.4628
Sr Li Pd
6 1 1
Direct
0.2565 0.5440 0.3433
0.2748 0.2529 0.0000
0.7252 0.7471 0.0000
0.7435 0.4560 0.6567
0.7435 0.1128 0.3433
0.2565 0.8872 0.6567
0.0000 0.0000 0.0000
0.5000 0.5000 0.0000
```

Results
Raw total energy = -2.273 eV/atom
Magnetic moment = 0.000 μB per formula unit
E_form = -0.12 eV/atom

***

Record 2
DFT (PBE) results for a relaxed SrLi6Pd6 crystal.

POSCAR file:
```
SrLi6Pd6
1.0
5.0157 0.0000 2.0048
2.3886 6.3658 1.3008
0.1430 0.1689 6.9190
Pd Li Sr
6 6 1
Direct
0.5000 0.7673 0.2327
0.5000 0.0000 0.5000
0.5000 0.2327 0.7673
0.0000 0.5000 0.0000
0.5000 0.5000 0.0000
0.0000 0.0000 0.5000
0.3011 0.1989 0.1989
0.3546 0.6454 0.6454
0.6989 0.8011 0.8011
0.0000 0.3412 0.6588
0.0000 0.6588 0.3412
0.6454 0.3546 0.3546
0.0000 0.0000 0.0000
```

Results
Raw total energy = -3.861 eV/atom
Magnetic moment = 0.000 μB per formula unit
E_form = -0.45 eV/atom

***

Record 3
DFT (PBE) results for a relaxed SrLi6Pd4 crystal.

POSCAR file:
```
SrLi6Pd4
1.0
-3.5978 2.5753 -5.1302
0.3325 -6.6863 1.0385
-2.0784 0.6551 6.4145
Li Pd Sr
6 4 1
Direct
0.3867 0.4961 0.4961
0.5000 0.0000 0.5000
0.5000 0.5000 0.0000
0.0000 0.5039 0.8906
0.0000 0.8906 0.5039
0.6133 0.1094 0.1094
0.0000 0.5835 0.2540
0.6705 0.4165 0.4165
0.3295 0.7460 0.7460
0.0000 0.2540 0.5835
0.0000 0.0000 0.0000
```

Results
Raw total energy = -3.348 eV/atom
Magnetic moment = 0.000 μB per formula unit
E_form = -0.26 eV/atom

***

Record 4
DFT (PBE) results for a relaxed Sr2LiPd crystal.

POSCAR file:
```
Sr2LiPd
1.0
8.6609 0.0000 0.0000
0.0000 8.6609 0.0000
4.3304 4.3304 3.6205
Li Sr Pd
2 4 2
Direct
0.5000 0.5000 0.0000
0.2500 0.7500 0.5000
0.8750 0.9202 0.7500
0.6702 0.1250 0.2500
0.3750 0.3298 0.7500
0.0798 0.6250 0.2500
0.7500 0.2500 0.5000
0.0000 0.0000 0.0000
```

Results
Raw total energy = -2.698 eV/atom
Magnetic moment = 0.000 μB per formula unit
E_form = -0.08 eV/atom

***

Record 5
DFT (PBE) results for a relaxed Sr2Li3Pd crystal.

POSCAR file:
```
Sr2Li3Pd
1.0
-0.3735 -3.8900 -3.2504
4.4106 -2.7771 2.8167
-5.6851 0.8961 3.5551
Sr Pd Li
2 1 3
Direct
0.7170 0.2170 0.4340
0.2830 0.7830 0.5660
0.0000 0.5000 0.0000
0.6009 0.6009 0.2018
0.3991 0.3991 0.7982
0.0000 0.0000 0.0000
```

Results
Raw total energy = -2.394 eV/atom
Magnetic moment = 0.000 μB per formula unit
E_form = -0.01 eV/atom

***

Record 6
DFT (PBE) results for a relaxed Sr2Li5Pd12 crystal.

POSCAR file:
```
Sr2Li5Pd12
1.0
6.8722 0.0985 0.6852
0.6299 6.8440 0.6852
0.1065 0.0985 6.9054
Pd Sr Li
12 2 5
Direct
0.7067 0.0000 0.2933
0.0000 0.7067 0.2933
0.6580 0.6580 0.1432
0.1432 0.6580 0.6580
0.7067 0.2933 0.0000
0.2933 0.0000 0.7067
0.2933 0.7067 0.0000
0.0000 0.2933 0.7067
0.6580 0.1432 0.6580
0.3420 0.3420 0.8568
0.8568 0.3420 0.3420
0.3420 0.8568 0.3420
0.3499 0.3499 0.3499
0.6501 0.6501 0.6501
0.0931 0.0931 0.0931
0.9069 0.9069 0.9069
0.0000 0.5000 0.0000
0.0000 0.0000 0.5000
0.5000 0.0000 0.0000
```

Results
Raw total energy = -4.377 eV/atom
Magnetic moment = 0.000 μB per formula unit
E_form = -0.42 eV/atom

***

Record 7
DFT (PBE) results for a relaxed Sr3Li2Pd crystal.

POSCAR file:
```
Sr3Li2Pd
1.0
-2.5194 -0.2086 -3.7721
6.7688 -10.8030 -3.9236
-8.9309 -7.9214 6.4032
Sr Li Pd
12 8 4
Direct
0.7500 0.6322 0.9500
0.7500 0.2089 0.2676
0.7500 0.5502 0.6110
0.7500 0.9498 0.1110
0.2500 0.0502 0.8890
0.2500 0.7089 0.2324
0.7500 0.2911 0.7676
0.2500 0.4498 0.3890
0.2500 0.1322 0.5500
0.2500 0.3678 0.0500
0.7500 0.8678 0.4500
0.2500 0.7911 0.7324
0.7500 0.1801 0.0263
0.2500 0.0126 0.2886
0.7500 0.3199 0.5263
0.7500 0.9874 0.7114
0.2500 0.4874 0.7886
0.7500 0.5126 0.2114
0.2500 0.6801 0.4737
0.2500 0.8199 0.9737
0.7500 0.6266 0.3817
0.7500 0.8734 0.8817
0.2500 0.3734 0.6183
0.2500 0.1266 0.1183
```

Results
Raw total energy = -2.579 eV/atom
Magnetic moment = 0.000 μB per formula unit
E_form = -0.24 eV/atom

***

Record 8
DFT (PBE) results for a relaxed Sr3LiPd8 crystal.

POSCAR file:
```
Sr3LiPd8
1.0
-2.0706 5.0296 -1.0199
-4.9150 0.5160 -2.4902
-6.4045 1.7997 6.8646
Pd Sr Li
8 3 1
Direct
0.4400 0.9389 0.6822
0.1885 0.1885 0.4345
0.9389 0.9389 0.6822
0.4370 0.9384 0.1877
0.9384 0.4370 0.1877
0.9389 0.4400 0.6822
0.4370 0.4370 0.1877
0.6883 0.6883 0.9352
0.9927 0.9927 0.0218
0.5055 0.5055 0.4836
0.3769 0.3769 0.8693
0.8680 0.8680 0.3961
```

Results
Raw total energy = -4.605 eV/atom
Magnetic moment = 0.000 μB per formula unit
E_form = -0.56 eV/atom

***

> raw total energy of number 3 (SrLi6Pd4)?

-3.348 eV/atom

***

> Among the records above, which one has the lowest E_form?

Sr3LiPd8

***

> What is the formula in the third record?

SrLi6Pd4

***

> What is the E_form in the third record?

-0.26 eV/atom